No. 1
Entry from Alexandria: a relaxed structure of MgSiTc (GGA-PBE).

E = -5.734 eV/atom
calculated volume = 16.1 A^3/atom
formation energy from raw total energies = 0.06 eV/atom
crystal system = trigonal
E above lowest polymorph = 0.80 eV per formula unit

POSCAR file:
```
MgSiTc
1.0
-0.208 1.339 -2.642
-2.459 -0.852 1.430
-0.280 5.641 2.881
Mg Tc Si
1 1 1
direct
0.000 0.000 0.996 Mg
0.333 0.667 0.640 Tc
0.667 0.333 0.364 Si
```

No. 2
Entry from Alexandria: a relaxed structure of MgSiTc (GGA-PBE).

E = -5.906 eV/atom
calculated volume = 15.9 A^3/atom
formation energy from raw total energies = -0.11 eV/atom
crystal system = hexagonal
E above lowest polymorph = 0.29 eV per formula unit

POSCAR file:
```
MgSiTc
1.0
-3.715 0.942 1.603
2.673 -2.319 2.175
1.231 2.640 1.302
Si Tc Mg
1 1 1
direct
0.667 0.333 0.499 Si
0.333 0.667 0.501 Tc
0.000 0.000 0.000 Mg
```

No. 3
Entry from Alexandria: a relaxed structure of MgSiTc (GGA-PBE).

E = -6.002 eV/atom
calculated volume = 15.6 A^3/atom
formation energy from raw total energies = -0.21 eV/atom
crystal system = tetragonal
E above lowest polymorph = 0.00 eV per formula unit

POSCAR file:
```
MgSiTc
1.0
-1.537 1.841 -4.558
-4.368 -1.010 -2.534
1.952 1.313 4.581
Tc Si Mg
1 1 1
direct
0.695 0.695 0.000 Tc
0.303 0.303 0.000 Si
0.002 0.002 0.000 Mg
```

No. 4
Entry from Alexandria: a relaxed structure of Mg3SiTc (GGA-PBE).

E = -3.087 eV/atom
calculated volume = 24.5 A^3/atom
formation energy from raw total energies = 1.03 eV/atom
crystal system = cubic
E above lowest polymorph = 0.67 eV per formula unit

POSCAR file:
```
Mg3SiTc
1.0
4.964 0.000 0.000
0.000 4.964 0.000
0.000 0.000 4.964
Mg Tc Si
3 1 1
direct
0.000 0.500 0.000 Mg
0.500 0.000 0.000 Mg
0.000 0.000 0.500 Mg
0.000 0.000 0.000 Tc
0.500 0.500 0.500 Si
```

No. 5
Entry from Alexandria: a relaxed structure of Mg3SiTc (GGA-PBE).

E = -3.220 eV/atom
calculated volume = 23.7 A^3/atom
formation energy from raw total energies = 0.89 eV/atom
crystal system = cubic
E above lowest polymorph = 0.00 eV per formula unit

POSCAR file:
```
Mg3SiTc
1.0
4.910 0.000 0.000
0.000 4.910 0.000
0.000 0.000 4.910
Si Mg Tc
1 3 1
direct
0.000 0.000 0.000 Si
0.000 0.000 0.500 Mg
0.000 0.500 0.000 Mg
0.500 0.000 0.000 Mg
0.500 0.500 0.500 Tc
```

No. 6
Entry from Alexandria: a relaxed structure of MgVSiTc (GGA-PBE).

E = -6.825 eV/atom
calculated volume = 14.0 A^3/atom
formation energy from raw total energies = -0.20 eV/atom
crystal system = cubic

POSCAR file:
```
MgVSiTc
1.0
4.296 0.000 0.000
2.148 3.721 0.000
2.148 1.240 3.508
Mg Tc Si V
1 1 1 1
direct
0.500 0.500 0.500 Mg
0.000 0.000 0.000 Tc
0.250 0.250 0.250 Si
0.750 0.750 0.750 V
```